10
Lattice="4.240 0.000 0.000 0.000 4.240 0.000 0.000 0.000 8.952" Properties=species:S:1:pos:R:3 comment="Tc2P2I (SCAN, single point on PBEsol structure)" total_magnetization_mub_per_cell=0.000 total_energy_ev_per_cell=-255.33 pbc="T T T"
Tc 0.000 2.120 2.238
Tc 0.000 2.120 6.714
Tc 2.120 0.000 2.238
Tc 2.120 0.000 6.714
P 0.000 0.000 1.167
P 0.000 0.000 7.785
P 2.120 2.120 3.309
P 2.120 2.120 5.643
I 0.000 0.000 4.476
I 2.120 2.120 0.000



5
Lattice="5.925 0.000 0.000 0.000 5.925 0.000 0.000 0.000 5.925" Properties=species:S:1:pos:R:3 comment="TePI3 (SCAN, single point on PBEsol structure)" total_magnetization_mub_per_cell=2.699 total_energy_ev_per_cell=-154.87 pbc="T T T"
Te 0.000 0.000 0.000
P 2.962 2.962 2.962
I 0.000 0.000 2.962
I 0.000 2.962 0.000
I 2.962 0.000 0.000



5
Lattice="5.269 0.000 0.000 0.000 5.269 0.000 0.000 0.000 5.338" Properties=species:S:1:pos:R:3 comment="TiTe2PI (SCAN, single point on PBEsol structure)" total_magnetization_mub_per_cell=2.251 total_energy_ev_per_cell=-135.76 pbc="T T T"
Ti 0.000 0.000 0.000
Te 0.000 2.635 0.000
Te 2.635 0.000 0.000
P 2.635 2.635 2.669
I 0.000 0.000 2.669



5
Lattice="5.810 0.000 0.000 0.000 5.810 0.000 0.000 0.000 5.976" Properties=species:S:1:pos:R:3 comment="YTePI2 (SCAN, single point on PBEsol structure)" total_magnetization_mub_per_cell=2.000 total_energy_ev_per_cell=-149.83 pbc="T T T"
Y 0.000 0.000 0.000
Te 0.000 0.000 2.988
P 2.905 2.905 2.988
I 0.000 2.905 0.000
I 2.905 0.000 0.000



5
Lattice="5.121 0.000 0.000 0.000 5.121 0.000 0.000 0.000 5.192" Properties=species:S:1:pos:R:3 comment="ZrTe2PI (SCAN, single point on PBEsol structure)" total_magnetization_mub_per_cell=1.301 total_energy_ev_per_cell=-150.01 pbc="T T T"
Zr 0.000 0.000 0.000
Te 0.000 2.561 2.596
Te 2.561 0.000 2.596
P 2.561 2.561 2.596
I 2.561 2.561 0.000



16
Lattice="6.534 0.000 0.000 0.000 6.534 0.000 0.000 0.000 6.534" Properties=species:S:1:pos:R:3 comment="TiP2I (SCAN, single point on PBEsol structure)" total_magnetization_mub_per_cell=0.000 total_energy_ev_per_cell=-283.60 pbc="T T T"
Ti 0.000 0.000 0.000
Ti 0.000 3.267 3.267
Ti 3.267 0.000 3.267
Ti 3.267 3.267 0.000
P 1.634 1.634 1.634
P 1.634 1.634 4.901
P 1.634 4.901 1.634
P 1.634 4.901 4.901
P 4.901 1.634 1.634
P 4.901 1.634 4.901
P 4.901 4.901 1.634
P 4.901 4.901 4.901
I 0.000 0.000 3.267
I 0.000 3.267 0.000
I 3.267 0.000 0.000
I 3.267 3.267 3.267



5
Lattice="4.885 0.000 0.000 0.000 4.885 0.000 0.000 0.000 4.885" Properties=species:S:1:pos:R:3 comment="Ti3PI (SCAN, single point on PBEsol structure)" total_magnetization_mub_per_cell=5.208 total_energy_ev_per_cell=-89.38 pbc="T T T"
Ti 0.000 0.000 2.443
Ti 0.000 2.443 0.000
Ti 2.443 0.000 0.000
P 2.443 2.443 2.443
I 0.000 0.000 0.000



5
Lattice="4.864 0.000 0.000 0.000 4.864 0.000 0.000 0.000 4.864" Properties=species:S:1:pos:R:3 comment="P3WI (SCAN, single point on PBEsol structure)" total_magnetization_mub_per_cell=2.364 total_energy_ev_per_cell=-125.02 pbc="T T T"
P 0.000 0.000 2.432
P 0.000 2.432 0.000
P 2.432 0.000 0.000
W 2.432 2.432 2.432
I 0.000 0.000 0.000



5
Lattice="4.817 0.000 0.000 0.000 4.817 0.000 0.000 0.000 4.817" Properties=species:S:1:pos:R:3 comment="PW3I (SCAN, single point on PBEsol structure)" total_magnetization_mub_per_cell=0.000 total_energy_ev_per_cell=-239.40 pbc="T T T"
P 0.000 0.000 0.000
W 0.000 2.408 2.408
W 2.408 0.000 2.408
W 2.408 2.408 0.000
I 2.408 2.408 2.408



16
Lattice="5.869 0.000 0.000 0.000 5.869 0.000 0.000 0.000 11.572" Properties=species:S:1:pos:R:3 comment="Zn2PI (SCAN, single point on PBEsol structure)" total_magnetization_mub_per_cell=0.000 total_energy_ev_per_cell=-302.94 pbc="T T T"
Zn 0.974 1.467 1.447
Zn 1.467 3.908 4.340
Zn 1.467 4.895 10.126
Zn 1.961 1.467 7.233
Zn 3.908 4.402 7.233
Zn 4.402 0.974 10.126
Zn 4.402 1.961 4.340
Zn 4.895 4.402 1.447
P 0.000 0.000 0.000
P 0.000 2.935 2.893
P 2.935 0.000 8.679
P 2.935 2.935 5.786
I 0.000 0.000 5.786
I 0.000 2.935 8.679
I 2.935 0.000 2.893
I 2.935 2.935 0.000



42
Lattice="7.916 -7.081 0.000 7.916 7.081 0.000 0.000 0.000 12.788" Properties=species:S:1:pos:R:3 comment="Zr6PI14 (SCAN, single point on PBEsol structure)" total_magnetization_mub_per_cell=0.001 total_energy_ev_per_cell=-1464.75 pbc="T T T"
Zr 1.770 0.958 11.314
Zr 7.916 5.051 11.426
Zr 1.770 -0.958 1.474
Zr 6.145 0.958 7.868
Zr 7.916 2.030 5.032
Zr 6.145 -0.958 4.920
Zr 9.686 0.958 7.868
Zr 7.916 -2.030 7.756
Zr 9.686 -0.958 4.920
Zr 14.061 0.958 11.314
Zr 7.916 -5.051 1.362
Zr 14.061 -0.958 1.474
P 0.000 0.000 0.000
P 7.916 0.000 6.394
I 2.003 1.281 3.249
I 3.958 2.200 9.591
I 5.917 3.608 0.100
I 5.917 3.473 6.494
I 7.916 4.873 3.455
I 2.003 -1.281 9.539
I 3.900 0.000 6.394
I 4.016 0.000 0.000
I 5.913 1.281 3.145
I 7.916 2.208 9.849
I 9.914 3.608 0.100
I 9.914 3.473 6.494
I 3.958 -2.200 3.197
I 5.913 -1.281 9.643
I 9.918 1.281 3.145
I 11.873 2.200 9.591
I 5.917 -3.473 6.294
I 5.917 -3.608 12.688
I 7.916 -2.208 2.939
I 9.918 -1.281 9.643
I 11.815 0.000 0.000
I 11.931 0.000 6.394
I 13.829 1.281 3.249
I 7.916 -4.873 9.333
I 9.914 -3.473 6.294
I 9.914 -3.608 12.688
I 11.873 -2.200 3.197
I 13.829 -1.281 9.539



16
Lattice="5.964 0.000 0.000 0.000 5.964 0.000 0.000 0.000 13.340" Properties=species:S:1:pos:R:3 comment="ZrP2I (SCAN, single point on PBEsol structure)" total_magnetization_mub_per_cell=0.000 total_energy_ev_per_cell=-348.71 pbc="T T T"
Zr 0.000 0.000 0.000
Zr 0.000 2.982 3.335
Zr 2.982 0.000 10.005
Zr 2.982 2.982 6.670
P 1.093 1.491 1.667
P 1.491 4.075 5.002
P 1.491 4.871 11.672
P 1.889 1.491 8.337
P 4.075 4.473 8.337
P 4.473 1.093 11.672
P 4.473 1.889 5.002
P 4.871 4.473 1.667
I 0.000 0.000 6.670
I 0.000 2.982 10.005
I 2.982 0.000 3.335
I 2.982 2.982 0.000



5
Lattice="5.363 0.000 0.000 0.000 5.363 0.000 0.000 0.000 5.363" Properties=species:S:1:pos:R:3 comment="PdPb3I (SCAN, single point on PBEsol structure)" de_polymorph_kcal_per_mol_atoms=0.00 total_magnetization_mub_per_cell=0.000 pbc="T T T"
Pd 0.000 0.000 0.000
Pb 0.000 0.000 2.682
Pb 0.000 2.682 0.000
Pb 2.682 0.000 0.000
I 2.682 2.682 2.682



5
Lattice="5.031 0.000 0.000 0.000 5.031 0.000 0.000 0.000 5.031" Properties=species:S:1:pos:R:3 comment="Pd3PbI (SCAN, single point on PBEsol structure)" total_magnetization_mub_per_cell=0.000 total_energy_ev_per_cell=-207.62 pbc="T T T"
Pd 0.000 0.000 2.516
Pd 0.000 2.516 0.000
Pd 2.516 0.000 0.000
Pb 0.000 0.000 0.000
I 2.516 2.516 2.516



5
Lattice="5.165 0.000 0.000 0.000 5.165 0.000 0.000 0.000 5.498" Properties=species:S:1:pos:R:3 comment="Sb2PdPbI (SCAN, single point on PBEsol structure)" total_magnetization_mub_per_cell=0.002 total_energy_ev_per_cell=-218.53 pbc="T T T"
Sb 0.000 2.582 0.000
Sb 2.582 0.000 0.000
Pd 0.000 0.000 0.000
Pb 2.582 2.582 2.749
I 0.000 0.000 2.749



5
Lattice="4.914 0.000 0.000 0.000 4.914 0.000 0.000 0.000 5.391" Properties=species:S:1:pos:R:3 comment="ScPt2PbI (SCAN, single point on PBEsol structure)" total_magnetization_mub_per_cell=0.000 total_energy_ev_per_cell=-266.39 pbc="T T T"
Sc 0.000 0.000 0.000
Pt 0.000 2.457 0.000
Pt 2.457 0.000 0.000
Pb 2.457 2.457 2.696
I 0.000 0.000 2.696



5
Lattice="4.700 0.000 0.000 0.000 4.700 0.000 0.000 0.000 5.714" Properties=species:S:1:pos:R:3 comment="Ru2RhPbI (SCAN, single point on PBEsol structure)" total_magnetization_mub_per_cell=3.248 total_energy_ev_per_cell=-205.62 pbc="T T T"
Ru 0.000 2.350 0.000
Ru 2.350 0.000 0.000
Rh 0.000 0.000 2.857
Pb 2.350 2.350 2.857
I 2.350 2.350 0.000



5
Lattice="5.062 0.000 0.000 0.000 5.062 0.000 0.000 0.000 5.556" Properties=species:S:1:pos:R:3 comment="Sb2RhPbI (SCAN, single point on PBEsol structure)" total_magnetization_mub_per_cell=0.000 total_energy_ev_per_cell=-219.66 pbc="T T T"
Sb 0.000 2.531 0.000
Sb 2.531 0.000 0.000
Rh 0.000 0.000 0.000
Pb 2.531 2.531 2.778
I 0.000 0.000 2.778



5
Lattice="6.014 0.000 0.000 0.000 6.014 0.000 0.000 0.000 5.899" Properties=species:S:1:pos:R:3 comment="TePbSI2 (SCAN, single point on PBEsol structure)" total_magnetization_mub_per_cell=3.433 total_energy_ev_per_cell=-193.18 pbc="T T T"
Te 0.000 0.000 0.000
Pb 0.000 0.000 2.949
S 3.007 3.007 0.000
I 0.000 3.007 2.949
I 3.007 0.000 2.949



10
Lattice="4.561 0.000 0.000 0.000 4.561 0.000 0.000 0.000 15.761" Properties=species:S:1:pos:R:3 comment="Sb2Pb2I (SCAN, single point on PBEsol structure)" total_magnetization_mub_per_cell=0.000 total_energy_ev_per_cell=-527.08 pbc="T T T"
Sb 0.000 2.280 3.940
Sb 0.000 2.280 11.821
Sb 2.280 0.000 3.940
Sb 2.280 0.000 11.821
Pb 0.000 0.000 1.755
Pb 0.000 0.000 14.006
Pb 2.280 2.280 6.126
Pb 2.280 2.280 9.635
I 0.000 0.000 7.880
I 2.280 2.280 0.000



5
Lattice="5.988 0.000 0.000 0.000 5.988 0.000 0.000 0.000 5.872" Properties=species:S:1:pos:R:3 comment="SrSbPbI2 (SCAN, single point on PBEsol structure)" total_magnetization_mub_per_cell=0.005 total_energy_ev_per_cell=-210.72 pbc="T T T"
Sr 0.000 0.000 0.000
Sb 2.994 2.994 0.000
Pb 2.994 2.994 2.936
I 0.000 2.994 2.936
I 2.994 0.000 2.936



5
Lattice="6.094 0.000 0.000 0.000 6.094 0.000 0.000 0.000 5.971" Properties=species:S:1:pos:R:3 comment="ZnSbPbI2 (SCAN, single point on PBEsol structure)" total_magnetization_mub_per_cell=1.902 total_energy_ev_per_cell=-197.96 pbc="T T T"
Zn 0.000 0.000 0.000
Sb 3.047 3.047 0.000
Pb 3.047 3.047 2.985
I 0.000 3.047 2.985
I 3.047 0.000 2.985



5
Lattice="5.289 0.000 0.000 0.000 5.289 0.000 0.000 0.000 4.994" Properties=species:S:1:pos:R:3 comment="ScTcPb2I (SCAN, single point on PBEsol structure)" total_magnetization_mub_per_cell=0.000 total_energy_ev_per_cell=-237.84 pbc="T T T"
Sc 0.000 0.000 0.000
Tc 0.000 0.000 2.497
Pb 0.000 2.644 2.497
Pb 2.644 0.000 2.497
I 2.644 2.644 0.000



5
Lattice="5.529 0.000 0.000 0.000 5.529 0.000 0.000 0.000 5.638" Properties=species:S:1:pos:R:3 comment="TePbSeI2 (SCAN, single point on PBEsol structure)" total_magnetization_mub_per_cell=0.000 total_energy_ev_per_cell=-205.70 pbc="T T T"
Te 0.000 0.000 0.000
Pb 2.764 2.764 0.000
Se 0.000 0.000 2.819
I 0.000 2.764 2.819
I 2.764 0.000 2.819



5
Lattice="5.519 0.000 0.000 0.000 5.519 0.000 0.000 0.000 5.519" Properties=species:S:1:pos:R:3 comment="SiPbI3 (SCAN, single point on PBEsol structure)" total_magnetization_mub_per_cell=1.022 total_energy_ev_per_cell=-195.24 pbc="T T T"
Si 0.000 0.000 0.000
Pb 2.759 2.759 2.759
I 0.000 0.000 2.759
I 0.000 2.759 0.000
I 2.759 0.000 0.000



5
Lattice="5.947 0.000 0.000 0.000 5.947 0.000 0.000 0.000 5.947" Properties=species:S:1:pos:R:3 comment="SnPbI3 (SCAN, single point on PBEsol structure)" total_magnetization_mub_per_cell=1.012 total_energy_ev_per_cell=-222.01 pbc="T T T"
Sn 0.000 0.000 0.000
Pb 2.974 2.974 2.974
I 0.000 0.000 2.974
I 0.000 2.974 0.000
I 2.974 0.000 0.000